# 1
This record from Alexandria via LeMat-Bulk describes crystalline TlHg2As2 at its relaxed geometry. The functional is PBE.

```
TlHg2As2
1.0
8.692 0.000 0.000
0.000 8.692 0.000
0.000 0.000 3.225
Hg As Tl
4 4 2
direct
0.369 0.131 0.500
0.131 0.631 0.500
0.631 0.869 0.500
0.869 0.369 0.500
0.172 0.328 0.000
0.828 0.672 0.000
0.672 0.172 0.000
0.328 0.828 0.000
0.000 0.000 0.000
0.500 0.500 0.000
```

formation enthalpy at 0 K = 258 meV/atom



# 2
This record from Alexandria via LeMat-Bulk describes crystalline Ce2Sn8Pt at its relaxed geometry. The functional is PBE.

```
Ce2Sn8Pt
1.0
-1.375 2.964 3.452
-2.507 -3.503 2.009
9.982 -3.258 6.772
Ce Sn Pt
2 8 1
direct
0.000 0.000 0.318
0.000 0.000 0.682
0.000 0.500 0.873
0.500 0.000 0.127
0.500 0.500 0.687
0.000 0.500 0.500
0.500 0.000 0.873
0.500 0.500 0.313
0.500 0.000 0.500
0.000 0.500 0.127
0.000 0.000 0.000
```

formation enthalpy at 0 K = -441 meV/atom



# 3
This record from Alexandria via LeMat-Bulk describes crystalline Li2Ta at its relaxed geometry. The functional is PBE.

```
Li2Ta
1.0
-1.046 3.416 4.664
-3.214 0.624 -4.879
-3.152 -3.236 1.663
Li Ta
6 3
direct
0.000 0.507 0.500
0.208 0.000 0.000
0.507 0.000 0.500
0.000 0.208 0.000
0.493 0.493 0.500
0.792 0.792 0.000
0.667 0.333 0.000
0.333 0.667 0.000
0.000 0.000 0.500
```

formation enthalpy at 0 K = 1133 meV/atom



# 4
This record from Alexandria via LeMat-Bulk describes crystalline Hf3BeAl at its relaxed geometry. The functional is PBE.

```
Hf3BeAl
1.0
4.648 0.000 0.000
0.000 4.648 0.000
0.000 0.000 4.648
Be Hf Al
1 3 1
direct
0.000 0.000 0.000
0.000 0.000 0.500
0.500 0.000 0.000
0.000 0.500 0.000
0.500 0.500 0.500
```

formation enthalpy at 0 K = 133 meV/atom



# 5
This record from Alexandria via LeMat-Bulk describes crystalline La6AlHg at its relaxed geometry. The functional is PBE.

```
La6AlHg
1.0
5.417 0.000 1.631
-0.492 5.395 1.632
0.260 0.283 8.948
La Hg Al
6 1 1
direct
0.775 0.775 0.450
0.391 0.891 0.218
0.891 0.391 0.218
0.109 0.609 0.782
0.609 0.109 0.782
0.225 0.225 0.550
0.500 0.500 0.000
0.000 0.000 0.000
```

formation enthalpy at 0 K = -191 meV/atom



# 6
This record from Alexandria via LeMat-Bulk describes crystalline LiIn3Cu at its relaxed geometry. The functional is PBE.

```
LiIn3Cu
1.0
5.719 0.000 0.000
0.000 7.474 -2.364
0.000 -0.041 9.591
Li Cu In
4 4 12
direct
0.251 0.638 0.161
0.249 0.638 0.661
0.751 0.362 0.339
0.749 0.362 0.839
0.015 0.299 0.577
0.485 0.299 0.077
0.515 0.701 0.923
0.985 0.701 0.423
0.484 0.796 0.453
0.998 0.998 0.672
0.502 0.998 0.172
0.751 0.606 0.653
0.251 0.394 0.847
0.749 0.606 0.153
0.516 0.204 0.547
0.498 0.002 0.828
0.249 0.394 0.347
0.016 0.796 0.953
0.002 0.002 0.328
0.984 0.204 0.047
```

formation enthalpy at 0 K = -97 meV/atom



# 7
This record from Alexandria via LeMat-Bulk describes crystalline Pa3Zn2Pt6 at its relaxed geometry. The functional is PBE.

```
Pa3Zn2Pt6
1.0
4.123 0.000 0.000
0.000 4.123 0.000
-2.061 -2.061 12.382
Pa Pt Zn
3 6 2
direct
0.803 0.803 0.607
0.197 0.197 0.393
0.000 0.000 0.000
0.893 0.393 0.786
0.688 0.688 0.376
0.312 0.312 0.624
0.393 0.893 0.786
0.607 0.107 0.214
0.107 0.607 0.214
0.452 0.452 0.905
0.548 0.548 0.095
```

formation enthalpy at 0 K = -794 meV/atom



# 8
This record from Alexandria via LeMat-Bulk describes crystalline In2PW at its relaxed geometry. The functional is PBE.

```
In2PW
1.0
-0.575 -2.487 1.758
-0.113 -1.770 -2.542
8.329 -1.467 0.651
P In W
1 2 1
direct
0.000 0.000 0.564
0.500 0.500 0.285
0.000 0.000 0.952
0.500 0.500 0.699
```

formation enthalpy at 0 K = 105 meV/atom



# 9
This record from Alexandria via LeMat-Bulk describes crystalline HfP2CS at its relaxed geometry. The functional is PBE.

```
HfP2CS
1.0
5.033 0.000 0.000
0.000 5.033 0.000
0.000 0.000 4.827
Hf P S C
1 2 1 1
direct
0.000 0.000 0.000
0.500 0.000 0.000
0.000 0.500 0.000
0.000 0.000 0.500
0.500 0.500 0.500
```

energy relative to the elements, uncorrected = 1530 meV per atom



# 10
This record from Alexandria via LeMat-Bulk describes crystalline CsAl2HgBr8 at its relaxed geometry. The functional is PBE.

```
CsAl2HgBr8
1.0
7.120 0.000 0.000
3.560 6.166 0.000
3.560 2.055 10.376
Br Cs Al Hg
8 1 2 1
direct
0.299 0.948 0.183
0.174 0.174 0.479
0.826 0.826 0.521
0.052 0.431 0.817
0.431 0.701 0.817
0.701 0.052 0.817
0.948 0.569 0.183
0.569 0.299 0.183
0.500 0.500 0.500
0.248 0.248 0.255
0.752 0.752 0.745
0.000 0.000 0.000
```

energy relative to the elements, uncorrected = -1099 meV per atom



# 11
This record from Alexandria via LeMat-Bulk describes crystalline DyPuGaCo at its relaxed geometry. The functional is PBE.

```
DyPuGaCo
1.0
4.905 0.000 0.000
2.453 4.248 0.000
2.453 1.416 4.005
Co Ga Dy Pu
1 1 1 1
direct
0.750 0.750 0.750
0.250 0.250 0.250
0.500 0.500 0.500
0.000 0.000 0.000
```

formation enthalpy at 0 K = -164 meV/atom



# 12
This record from Alexandria via LeMat-Bulk describes crystalline MoPb2Cl at its relaxed geometry. The functional is PBE.

```
MoPb2Cl
1.0
-0.711 -1.540 -7.648
1.463 -3.257 4.251
-2.474 -1.870 0.043
Pb Mo Cl
2 1 1
direct
0.500 0.000 0.500
0.000 0.000 0.000
0.500 0.500 0.000
0.000 0.500 0.500
```

energy relative to the elements, uncorrected = 313 meV per atom